(w)
An optimized crystal structure of Rb2HfPt, computed with PBE.

Cell and atoms, written as POSCAR:
```
Rb2HfPt
1.0
1.223 -5.360 1.631
2.536 -0.951 5.054
-2.946 -2.440 4.272
Rb Pt Hf
2 1 1
Cartesian
0.610 -6.563 8.218 Rb
0.203 -2.188 2.739 Rb
0.406 -4.376 5.478 Pt
0.000 0.000 0.000 Hf
```

Space group ... Fm-3m, No. 225
DOS at the Fermi energy ... 5.1 states/eV/cell
Total magnetic moment ... 2.0 Bohr magnetons per cell



(x)
An optimized crystal structure of Rb2HfPt, computed with PBE.

Cell and atoms, written as POSCAR:
```
Rb2HfPt
1.0
-6.618 -10.869 1.426
7.317 -5.621 -8.879
1.937 -8.979 -1.954
Rb Hf Pt
4 2 2
Cartesian
0.573 -12.041 -2.875 Rb
-4.111 -16.419 -0.493 Rb
-1.355 -16.289 -4.656 Rb
-3.771 -11.437 -0.485 Rb
4.802 -11.422 -7.280 Hf
0.349 -8.245 -3.727 Hf
0.000 0.000 0.000 Pt
-2.166 -14.047 -2.127 Pt
```

Space group ... I-42d, No. 122
DOS at the Fermi energy ... 10.1 states/eV/cell
Total magnetic moment ... 0.0 Bohr magnetons per cell



Most stable pick: (x). Distance to second place: 839 meV per atom.



(w)
An optimized crystal structure of RbHf2Pt, computed with PBE.

Cell and atoms, written as POSCAR:
```
RbHf2Pt
1.0
-2.577 0.855 4.107
-3.932 -2.767 1.060
0.180 -3.207 3.731
Pt Rb Hf
1 1 2
Cartesian
-3.164 -2.560 4.449 Pt
0.000 0.000 0.000 Rb
-1.582 -1.280 2.224 Hf
-4.746 -3.839 6.673 Hf
```

Space group ... Fm-3m, No. 225
DOS at the Fermi energy ... 5.4 states/eV/cell
Total magnetic moment ... 0.0 Bohr magnetons per cell



(x)
An optimized crystal structure of RbHf2Pt, computed with PBE.

Cell and atoms, written as POSCAR:
```
RbHf2Pt
1.0
-5.624 -1.732 -0.418
-0.110 -1.044 5.805
-5.483 6.761 4.110
Rb Hf Pt
2 4 2
Cartesian
-4.230 2.164 6.304 Rb
-2.867 -1.388 2.694 Rb
-6.369 -0.481 4.289 Hf
-9.047 3.426 3.433 Hf
-6.297 0.047 1.388 Hf
-6.235 4.289 3.660 Hf
-6.987 1.820 3.192 Pt
0.000 0.000 0.000 Pt
```

Space group ... I-42d, No. 122
DOS at the Fermi energy ... 17.7 states/eV/cell
Total magnetic moment ... 0.0 Bohr magnetons per cell



Most stable pick: (w). Distance to second place: 170 meV per atom.



(w)
An optimized crystal structure of HfRe3Pt, computed with PBE.

Cell and atoms, written as POSCAR:
```
HfRe3Pt
1.0
-1.716 1.453 4.103
-3.269 -3.341 -0.184
2.873 -2.935 2.241
Pt Re Hf
1 3 1
Cartesian
-1.056 -2.412 3.080 Pt
1.437 -1.467 1.120 Re
-0.858 0.726 2.051 Re
-1.635 -1.671 -0.092 Re
0.000 0.000 0.000 Hf
```

Space group ... Pm-3m, No. 221
DOS at the Fermi energy ... 5.6 states/eV/cell
Total magnetic moment ... 0.0 Bohr magnetons per cell



(x)
An optimized crystal structure of HfRe3Pt, computed with PBE.

Cell and atoms, written as POSCAR:
```
HfRe3Pt
1.0
4.726 0.000 0.000
0.000 4.726 0.000
0.000 0.000 4.726
Hf Re Pt
1 3 1
Cartesian
2.363 2.363 2.363 Hf
0.000 0.000 2.363 Re
0.000 2.363 0.000 Re
2.363 0.000 0.000 Re
0.000 0.000 0.000 Pt
```

Space group ... Pm-3m, No. 221
DOS at the Fermi energy ... 9.8 states/eV/cell
Total magnetic moment ... 0.0 Bohr magnetons per cell



Most stable pick: (x). Distance to second place: 585 meV per atom.



(w)
An optimized crystal structure of Hf7Pt2Rh2, computed with PBE.

Cell and atoms, written as POSCAR:
```
Hf7Pt2Rh2
1.0
-1.801 1.887 2.166
-4.085 -6.088 4.560
3.674 -2.090 7.529
Rh Hf Pt
2 7 2
Cartesian
-2.327 -5.231 10.583 Rh
-1.264 -1.770 3.145 Rh
2.626 -1.222 8.555 Hf
0.189 -5.875 10.582 Hf
-0.687 0.468 4.329 Hf
1.508 -1.830 5.502 Hf
-2.122 -2.409 5.641 Hf
0.062 -2.512 10.201 Hf
-1.797 -4.762 7.961 Hf
-0.128 -2.641 7.502 Pt
-2.313 -5.175 5.238 Pt
```

Space group ... Imm2, No. 44
DOS at the Fermi energy ... 10.3 states/eV/cell
Total magnetic moment ... 0.0 Bohr magnetons per cell



(x)
An optimized crystal structure of Hf7Pt2Rh2, computed with PBE.

Cell and atoms, written as POSCAR:
```
Hf7Pt2Rh2
1.0
-3.030 5.143 -1.339
-4.924 -1.862 4.074
3.556 1.136 4.846
Hf Rh Pt
7 2 2
Cartesian
0.442 0.064 3.519 Hf
-3.377 1.758 4.772 Hf
-4.838 4.352 4.062 Hf
-1.020 2.658 2.808 Hf
0.000 0.000 0.000 Hf
0.706 3.209 5.276 Hf
-5.102 1.207 2.305 Hf
-6.063 2.133 4.505 Rh
1.666 2.283 3.076 Rh
-2.040 4.099 4.846 Pt
-2.357 0.317 2.734 Pt
```

Space group ... C2/m, No. 12
DOS at the Fermi energy ... 11.8 states/eV/cell
Total magnetic moment ... 0.0 Bohr magnetons per cell



Most stable pick: (w). Distance to second place: 329 meV per atom.



(w)
An optimized crystal structure of Hf3RuPt, computed with PBE.

Cell and atoms, written as POSCAR:
```
Hf3RuPt
1.0
-3.645 1.363 3.075
1.002 -3.887 2.912
3.210 2.762 2.581
Pt Hf Ru
1 3 1
Cartesian
0.000 0.000 0.000 Pt
-1.822 0.682 1.537 Hf
1.605 1.381 1.291 Hf
0.501 -1.944 1.456 Hf
0.284 0.119 4.284 Ru
```

Space group ... Pm-3m, No. 221
DOS at the Fermi energy ... 9.2 states/eV/cell
Total magnetic moment ... 0.0 Bohr magnetons per cell



(x)
An optimized crystal structure of Hf3RuPt, computed with PBE.

Cell and atoms, written as POSCAR:
```
Hf3RuPt
1.0
-2.020 -3.426 -2.828
3.614 -3.074 1.143
-2.584 -1.621 3.810
Pt Hf Ru
1 3 1
Cartesian
-0.495 -4.061 1.062 Pt
-1.292 -0.811 1.905 Hf
1.807 -1.537 0.571 Hf
-1.010 -1.713 -1.414 Hf
0.000 0.000 0.000 Ru
```

Space group ... Pm-3m, No. 221
DOS at the Fermi energy ... 7.1 states/eV/cell
Total magnetic moment ... 0.0 Bohr magnetons per cell



Most stable pick: (x). Distance to second place: 348 meV per atom.



(w)
An optimized crystal structure of HfPtS2, computed with PBE.

Cell and atoms, written as POSCAR:
```
HfPtS2
1.0
0.000 3.180 3.180
3.180 0.000 3.180
3.180 3.180 0.000
Hf S Pt
1 2 1
Cartesian
0.000 0.000 0.000 Hf
1.590 1.590 1.590 S
4.770 4.770 4.770 S
3.180 3.180 3.180 Pt
```

Space group ... Fm-3m, No. 225
DOS at the Fermi energy ... 0.3 states/eV/cell
Total magnetic moment ... 0.0 Bohr magnetons per cell



(x)
An optimized crystal structure of HfPtS2, computed with PBE.

Cell and atoms, written as POSCAR:
```
HfPtS2
1.0
4.636 0.000 0.000
0.000 4.636 0.000
2.318 2.318 7.251
S Hf Pt
4 2 2
Cartesian
3.511 1.159 1.813 S
5.795 5.829 5.438 S
3.477 3.444 5.438 S
1.125 3.477 1.813 S
2.318 2.318 0.000 Hf
2.318 4.636 3.626 Hf
4.636 2.318 3.626 Pt
0.000 0.000 0.000 Pt
```

Space group ... I-42d, No. 122
DOS at the Fermi energy ... 0.2 states/eV/cell
Total magnetic moment ... 0.0 Bohr magnetons per cell



Most stable pick: (x). Distance to second place: 199 meV per atom.